Compound: InMoNF2
Source: Alexandria
Functional: PBE+U
Structure: optimized geometry

Output
Final energy (eV/atom): -4.897

Lattice parameters (Å, degrees): 4.210 4.210 4.315 90.00 90.00 90.00
Space group P4/mmm (No. 123)
Unique sites:
In (0.000, 0.000, 0.000) (multiplicity 1)
Mo (0.500, 0.500, 0.500) (multiplicity 1)
N (0.000, 0.000, 0.500) (multiplicity 1)
F (0.000, 0.500, 0.000) (multiplicity 2)